1.
A relaxed structure of CsLaIn2O, computed with GGA-PBE.

```
data_CsLaIn2O
_cell_length_a 4.985
_cell_length_b 4.985
_cell_length_c 5.579
_cell_angle_alpha 90.00
_cell_angle_beta 90.00
_cell_angle_gamma 90.00
_symmetry_space_group_name_H-M 'P 4/m m m'
_symmetry_Int_Tables_number 123
_symmetry_space_group_name_Hall '-P 4 2'
loop_
_atom_site_label
_atom_site_type_symbol
_atom_site_fract_x
_atom_site_fract_y
_atom_site_fract_z
_atom_site_occupancy
Cs1 Cs 0.000 0.000 0.000 1
La1 La 0.500 0.500 0.000 1
In1 In 0.000 0.500 0.500 1
O1 O 0.000 0.000 0.500 1
```

---

2.
A relaxed structure of CsLaInO3, computed with GGA-PBE.

```
data_CsLaInO3
_cell_length_a 7.414
_cell_length_b 3.644
_cell_length_c 11.084
_cell_angle_alpha 90.00
_cell_angle_beta 107.00
_cell_angle_gamma 90.00
_symmetry_space_group_name_H-M 'P 1 21/m 1'
_symmetry_Int_Tables_number 11
loop_
_symmetry_equiv_pos_as_xyz
'x,y,z'
'-x,-y,-z'
'-x,y+1/2,-z'
'x,-y+1/2,z'
loop_
_atom_site_label
_atom_site_type_symbol
_atom_site_fract_x
_atom_site_fract_y
_atom_site_fract_z
_atom_site_occupancy
Cs1 Cs 0.241 0.250 0.237 1
La1 La 0.171 0.750 0.628 1
In1 In 0.353 0.250 0.900 1
O1 O 0.052 0.750 0.405 1
O2 O 0.184 0.750 0.864 1
O3 O 0.394 0.250 0.717 1
```

---

3.
A relaxed structure of Cs2LaInO4, computed with GGA-PBE.

```
data_Cs2LaInO4
_cell_length_a 7.675
_cell_length_b 7.885
_cell_length_c 6.626
_cell_angle_alpha 90.00
_cell_angle_beta 90.00
_cell_angle_gamma 90.00
_symmetry_space_group_name_H-M 'P m n 21'
_symmetry_Int_Tables_number 31
loop_
_symmetry_equiv_pos_as_xyz
'x,y,z'
'-x+1/2,-y,z+1/2'
'-x,y,z'
'x+1/2,-y,z+1/2'
loop_
_atom_site_label
_atom_site_type_symbol
_atom_site_fract_x
_atom_site_fract_y
_atom_site_fract_z
_atom_site_occupancy
Cs1 Cs 0.248 0.170 0.000 1
La1 La 0.000 0.365 0.488 1
In1 In 0.000 0.658 0.986 1
O1 O 0.000 0.436 0.160 1
O2 O 0.000 0.600 0.678 1
O3 O 0.239 0.784 0.038 1
```

---

Magnetic moment, record by record: 0.00 0.00 0.00 μB per atom
E_form (uncorrected), record by record: -164.2 -2091.7 -1973.5 meV/atom
Energy, record by record: -3.407 -5.991 -5.624 eV per atom